# LiMoF2 (PBE with a Hubbard U, relaxed)
data_LiMoF2
_space_group_name_H-M_alt 'P 1'
_space_group_IT_number 1
_cell_length_a 7.091
_cell_length_b 7.091
_cell_length_c 7.091
_cell_angle_alpha 25.28
_cell_angle_beta 25.28
_cell_angle_gamma 25.28
loop_
_space_group_symop_operation_xyz
'x,y,z'
loop_
_atom_site_label
_atom_site_fract_x
_atom_site_fract_y
_atom_site_fract_z
Li1 0.000 0.000 0.000
Mo1 0.500 0.500 0.500
F1 0.088 0.088 0.088
F2 0.912 0.912 0.912
# Excess energy over the best structure of this formula in the dataset: 524 meV/atom
# DOS at the Fermi energy: 1.6 states/eV/f.u.
# VASP energy: -4.312 eV per atom
# Symmetry: No. 166
# Spin magnetization: 1.75 μB/f.u.